(1)
# PBE-GGA TlCoAu2, optimized geometry
# ΔE to the lowest computed polymorph, eV per formula unit: 0.43
# Fermi-level density of states, states/eV/f.u.: 7.0
# Crystal system: tetragonal
data_TlCoAu2
_chemical_formula_sum 'Tl2 Co2 Au4'
_symmetry_space_group_name_H-M 'I -4 m 2'
_symmetry_Int_Tables_number 119
_symmetry_space_group_name_Hall 'I -4 -2'
_cell_length_a 4.253
_cell_length_b 4.253
_cell_length_c 7.890
_cell_angle_alpha 90.00
_cell_angle_beta 90.00
_cell_angle_gamma 90.00
loop_
_atom_site_label
_atom_site_type_symbol
_atom_site_fract_x
_atom_site_fract_y
_atom_site_fract_z
_atom_site_occupancy
Tl1 Tl 0.000 0.000 0.000 1
Co1 Co 0.000 0.500 0.250 1
Au1 Au 0.000 0.000 0.500 1
Au2 Au 0.000 0.500 0.750 1

=====

(2)
# PBE-GGA PmEr2PaSe4, optimized geometry
# Formation energy without anion corrections, kJ per mole of atoms: -153.50
# Fermi-level density of states, states/eV/f.u.: 7.1
# Crystal system: monoclinic
data_PmEr2PaSe4
_chemical_formula_sum 'Pm1 Er2 Pa1 Se4'
_symmetry_space_group_name_H-M 'P 1 2/m 1'
_symmetry_Int_Tables_number 10
_symmetry_space_group_name_Hall '-P 2y'
_cell_length_a 7.018
_cell_length_b 4.016
_cell_length_c 7.208
_cell_angle_alpha 90.00
_cell_angle_beta 108.59
_cell_angle_gamma 90.00
loop_
_atom_site_label
_atom_site_type_symbol
_atom_site_fract_x
_atom_site_fract_y
_atom_site_fract_z
_atom_site_occupancy
Pm1 Pm 0.000 0.000 0.000 1
Er1 Er 0.000 0.500 0.500 1
Er2 Er 0.500 0.000 0.500 1
Pa1 Pa 0.500 0.500 0.000 1
Se1 Se 0.249 0.000 0.740 1
Se2 Se 0.257 0.500 0.262 1

=====

(3)
# PBE-GGA LiScF4, optimized geometry
# Formation energy without anion corrections, kJ per mole of atoms: -345.98
# Fermi-level density of states, states/eV/f.u.: 0.0
# Crystal system: tetragonal
data_LiScF4
_chemical_formula_sum 'Li4 Sc4 F16'
_symmetry_space_group_name_H-M 'I 41/a m d'
_symmetry_Int_Tables_number 141
_cell_length_a 6.577
_cell_length_b 6.577
_cell_length_c 6.618
_cell_angle_alpha 90.00
_cell_angle_beta 90.00
_cell_angle_gamma 90.00
loop_
_symmetry_equiv_pos_as_xyz
'x,y,z'
'-x,-y,-z'
'-y+1/4,x+3/4,z+1/4'
'y+1/4,-x+3/4,-z+1/4'
'-x+1/2,-y,z+1/2'
'x+1/2,y,-z+1/2'
'y+1/4,-x+1/4,z+3/4'
'-y+1/4,x+1/4,-z+3/4'
'x,-y,-z'
'-x,y,z'
'-y+1/4,-x+1/4,-z+3/4'
'y+1/4,x+1/4,z+3/4'
'-x+1/2,y,-z+1/2'
'x+1/2,-y,z+1/2'
'y+1/4,x+3/4,-z+1/4'
'-y+1/4,-x+3/4,z+1/4'
'x+1/2,y+1/2,z+1/2'
'-x+1/2,-y+1/2,-z+1/2'
'-y+3/4,x+1/4,z+3/4'
'y+3/4,-x+1/4,-z+3/4'
'-x,-y+1/2,z'
'x,y+1/2,-z'
'y+3/4,-x+3/4,z+1/4'
'-y+3/4,x+3/4,-z+1/4'
'x+1/2,-y+1/2,-z+1/2'
'-x+1/2,y+1/2,z+1/2'
'-y+3/4,-x+3/4,-z+1/4'
'y+3/4,x+3/4,z+1/4'
'-x,y+1/2,-z'
'x,-y+1/2,z'
'y+3/4,x+1/4,-z+3/4'
'-y+3/4,-x+1/4,z+3/4'
loop_
_atom_site_label
_atom_site_type_symbol
_atom_site_fract_x
_atom_site_fract_y
_atom_site_fract_z
_atom_site_occupancy
Li1 Li 0.000 0.250 0.375 1
Sc1 Sc 0.000 0.250 0.875 1
F1 F 0.000 0.056 0.175 1

=====

(4)
# PBE-GGA CaCrTe3, optimized geometry
# ΔE to the lowest computed polymorph, eV per formula unit: 3.82
# Formation energy without anion corrections, kJ per mole of atoms: 42.26
# Fermi-level density of states, states/eV/f.u.: 6.6
# Crystal system: cubic
data_CaCrTe3
_chemical_formula_sum 'Ca1 Cr1 Te3'
_symmetry_space_group_name_H-M 'P m -3 m'
_symmetry_Int_Tables_number 221
_symmetry_space_group_name_Hall '-P 4 2 3'
_cell_length_a 5.752
_cell_length_b 5.752
_cell_length_c 5.752
_cell_angle_alpha 90.00
_cell_angle_beta 90.00
_cell_angle_gamma 90.00
loop_
_atom_site_label
_atom_site_type_symbol
_atom_site_fract_x
_atom_site_fract_y
_atom_site_fract_z
_atom_site_occupancy
Ca1 Ca 0.000 0.000 0.000 1
Cr1 Cr 0.500 0.500 0.500 1
Te1 Te 0.000 0.000 0.500 1

=====

(5)
# PBE-GGA Sb2TeSeI, optimized geometry
# ΔE to the lowest computed polymorph, eV per formula unit: 3.21
# Formation energy without anion corrections, kJ per mole of atoms: 116.04
# Fermi-level density of states, states/eV/f.u.: 6.5
# Crystal system: tetragonal
data_Sb2TeSeI
_chemical_formula_sum 'Sb2 Te1 Se1 I1'
_symmetry_space_group_name_H-M 'P 4/m m m'
_symmetry_Int_Tables_number 123
_symmetry_space_group_name_Hall '-P 4 2'
_cell_length_a 5.878
_cell_length_b 5.878
_cell_length_c 5.610
_cell_angle_alpha 90.00
_cell_angle_beta 90.00
_cell_angle_gamma 90.00
loop_
_atom_site_label
_atom_site_type_symbol
_atom_site_fract_x
_atom_site_fract_y
_atom_site_fract_z
_atom_site_occupancy
Sb1 Sb 0.000 0.500 0.000 1
Te1 Te 0.000 0.000 0.500 1
Se1 Se 0.500 0.500 0.500 1
I1 I 0.000 0.000 0.000 1

=====

(6)
# PBE-GGA YZr2Te, optimized geometry
# Formation energy without anion corrections, kJ per mole of atoms: -26.54
# Fermi-level density of states, states/eV/f.u.: 4.4
# Crystal system: tetragonal
data_YZr2Te
_chemical_formula_sum 'Y2 Zr4 Te2'
_symmetry_space_group_name_H-M 'I 4/m m m'
_symmetry_Int_Tables_number 139
_symmetry_space_group_name_Hall '-I 4 2'
_cell_length_a 4.390
_cell_length_b 4.390
_cell_length_c 10.175
_cell_angle_alpha 90.00
_cell_angle_beta 90.00
_cell_angle_gamma 90.00
loop_
_atom_site_label
_atom_site_type_symbol
_atom_site_fract_x
_atom_site_fract_y
_atom_site_fract_z
_atom_site_occupancy
Y1 Y 0.000 0.000 0.000 1
Zr1 Zr 0.000 0.500 0.250 1
Te1 Te 0.000 0.000 0.500 1

=====

(7)
# PBE-GGA BaLiPr, optimized geometry
# ΔE to the lowest computed polymorph, eV per formula unit: 0.00
# Fermi-level density of states, states/eV/f.u.: 5.4
# Crystal system: tetragonal
data_BaLiPr
_chemical_formula_sum 'Ba2 Li2 Pr2'
_symmetry_space_group_name_H-M 'I 4 m m'
_symmetry_Int_Tables_number 107
_symmetry_space_group_name_Hall 'I 4 -2'
_cell_length_a 4.016
_cell_length_b 4.016
_cell_length_c 14.131
_cell_angle_alpha 90.00
_cell_angle_beta 90.00
_cell_angle_gamma 90.00
loop_
_atom_site_label
_atom_site_type_symbol
_atom_site_fract_x
_atom_site_fract_y
_atom_site_fract_z
_atom_site_occupancy
Ba1 Ba 0.000 0.000 0.000 1
Li1 Li 0.000 0.000 0.665 1
Pr1 Pr 0.000 0.000 0.289 1

=====

(8)
# PBE-GGA Li4Cd2Ag5, optimized geometry
# ΔE to the lowest computed polymorph, eV per formula unit: 0.00
# Fermi-level density of states, states/eV/f.u.: 2.8
# Crystal system: monoclinic
data_Li4Cd2Ag5
_chemical_formula_sum 'Li8 Cd4 Ag10'
_symmetry_space_group_name_H-M 'C 1 2/m 1'
_symmetry_Int_Tables_number 12
_symmetry_space_group_name_Hall '-C 2y'
_cell_length_a 9.401
_cell_length_b 4.037
_cell_length_c 10.498
_cell_angle_alpha 90.00
_cell_angle_beta 105.04
_cell_angle_gamma 90.00
loop_
_atom_site_label
_atom_site_type_symbol
_atom_site_fract_x
_atom_site_fract_y
_atom_site_fract_z
_atom_site_occupancy
Li1 Li 0.049 0.000 0.334 1
Li2 Li 0.183 0.500 0.770 1
Cd1 Cd 0.092 0.500 0.143 1
Ag1 Ag 0.000 0.500 0.500 1
Ag2 Ag 0.137 0.000 0.947 1
Ag3 Ag 0.228 0.000 0.592 1

=====

(9)
# PBE-GGA NaThAu2, optimized geometry
# E, eV/atom: -4.204
# Fermi-level density of states, states/eV/f.u.: 2.2
# Crystal system: trigonal
data_NaThAu2
_chemical_formula_sum 'Na3 Th3 Au6'
_symmetry_space_group_name_H-M 'R -3 m'
_symmetry_Int_Tables_number 166
_symmetry_space_group_name_Hall '-R 3 2"'
_cell_length_a 4.2654
_cell_length_b 4.2654
_cell_length_c 20.7260
_cell_angle_alpha 90.00
_cell_angle_beta 90.00
_cell_angle_gamma 120.00
loop_
_atom_site_label
_atom_site_type_symbol
_atom_site_fract_x
_atom_site_fract_y
_atom_site_fract_z
_atom_site_occupancy
Na1 Na 0.0000 0.0000 0.0000 1
Th1 Th 0.0000 0.0000 0.5000 1
Au1 Au 0.0000 0.0000 0.2489 1

=====

(10)
# PBE-GGA KNaGa2Cu, optimized geometry
# E, eV/atom: -2.475
# Fermi-level density of states, states/eV/f.u.: 2.0
# Crystal system: tetragonal
data_KNaGa2Cu
_chemical_formula_sum 'K1 Na1 Ga2 Cu1'
_symmetry_space_group_name_H-M 'P 4/m m m'
_symmetry_Int_Tables_number 123
_symmetry_space_group_name_Hall '-P 4 2'
_cell_length_a 4.781
_cell_length_b 4.781
_cell_length_c 5.523
_cell_angle_alpha 90.00
_cell_angle_beta 90.00
_cell_angle_gamma 90.00
loop_
_atom_site_label
_atom_site_type_symbol
_atom_site_fract_x
_atom_site_fract_y
_atom_site_fract_z
_atom_site_occupancy
K1 K 0.000 0.000 0.000 1
Na1 Na 0.500 0.500 0.000 1
Ga1 Ga 0.000 0.500 0.500 1
Cu1 Cu 0.500 0.500 0.500 1

=====

(11)
# PBE-GGA La2PmY3Te6, optimized geometry
# Formation energy without anion corrections, kJ per mole of atoms: -137.61
# Fermi-level density of states, states/eV/f.u.: 6.9
# Crystal system: monoclinic
data_La2PmY3Te6
_chemical_formula_sum 'La4 Pm2 Y6 Te12'
_symmetry_space_group_name_H-M 'C 1 2/m 1'
_symmetry_Int_Tables_number 12
_symmetry_space_group_name_Hall '-C 2y'
_cell_length_a 19.468
_cell_length_b 4.426
_cell_length_c 8.972
_cell_angle_alpha 90.00
_cell_angle_beta 104.18
_cell_angle_gamma 90.00
loop_
_atom_site_label
_atom_site_type_symbol
_atom_site_fract_x
_atom_site_fract_y
_atom_site_fract_z
_atom_site_occupancy
La1 La 0.166 0.000 0.331 1
Pm1 Pm 0.000 0.500 0.000 1
Y1 Y 0.000 0.500 0.500 1
Y2 Y 0.168 0.000 0.833 1
Te1 Te 0.005 0.000 0.746 1
Te2 Te 0.163 0.500 0.591 1
Te3 Te 0.168 0.500 0.072 1

=====

(12)
# PBE-GGA Ag4AsRh, optimized geometry
# E, eV/atom: -3.449
# Fermi-level density of states, states/eV/f.u.: 5.5
# Crystal system: cubic
data_Ag4AsRh
_chemical_formula_sum 'Ag16 As4 Rh4'
_symmetry_space_group_name_H-M 'F -4 3 m'
_symmetry_Int_Tables_number 216
_symmetry_space_group_name_Hall 'F -4 2 3'
_cell_length_a 7.620
_cell_length_b 7.620
_cell_length_c 7.620
_cell_angle_alpha 90.00
_cell_angle_beta 90.00
_cell_angle_gamma 90.00
loop_
_atom_site_label
_atom_site_type_symbol
_atom_site_fract_x
_atom_site_fract_y
_atom_site_fract_z
_atom_site_occupancy
Ag1 Ag 0.125 0.125 0.125 1
As1 As 0.000 0.000 0.500 1
Rh1 Rh 0.250 0.250 0.750 1

=====

- Fermi-level density of states of number 11 (La2PmY3Te6)?
  6.9 states/eV/f.u.

=====

Copy entry 7 word for word.
# PBE-GGA BaLiPr, optimized geometry
# ΔE to the lowest computed polymorph, eV per formula unit: 0.00
# Fermi-level density of states, states/eV/f.u.: 5.4
# Crystal system: tetragonal
data_BaLiPr
_chemical_formula_sum 'Ba2 Li2 Pr2'
_symmetry_space_group_name_H-M 'I 4 m m'
_symmetry_Int_Tables_number 107
_symmetry_space_group_name_Hall 'I 4 -2'
_cell_length_a 4.016
_cell_length_b 4.016
_cell_length_c 14.131
_cell_angle_alpha 90.00
_cell_angle_beta 90.00
_cell_angle_gamma 90.00
loop_
_atom_site_label
_atom_site_type_symbol
_atom_site_fract_x
_atom_site_fract_y
_atom_site_fract_z
_atom_site_occupancy
Ba1 Ba 0.000 0.000 0.000 1
Li1 Li 0.000 0.000 0.665 1
Pr1 Pr 0.000 0.000 0.289 1

=====

- The highest Fermi-level density of states belongs to which entry?
  PmEr2PaSe4